Tb2TiVO6 | PBE with a Hubbard U | relaxed

```
data_Tb2TiVO6
_chemical_formula_sum 'Tb4 Ti2 V2 O12'
_symmetry_space_group_name_H-M 'P 1 21/c 1'
_symmetry_Int_Tables_number 14
_symmetry_space_group_name_Hall '-P 2ybc'
_cell_length_a 5.363
_cell_length_b 5.715
_cell_length_c 9.377
_cell_angle_alpha 90.00
_cell_angle_beta 124.19
_cell_angle_gamma 90.00
loop_
_atom_site_label
_atom_site_type_symbol
_atom_site_fract_x
_atom_site_fract_y
_atom_site_fract_z
Tb1 Tb 0.228 0.069 0.248
Ti1 Ti 0.500 0.000 0.000
V1 V 0.000 0.000 0.500
O1 O 0.145 0.185 0.945
O2 O 0.255 0.707 0.936
O3 O 0.378 0.047 0.759
```

Results
theoretical density: 7.16 g/cm3
volume: 119 Å³/f.u.
total magnetic moment: 6.00 μB per cell
electronic total energy: -170.46 eV per cell